Material: Li4SnHg2
Method: DFT, PBE
State: optimized geometry

Lattice parameters (Å, degrees): 5.1959 5.3437 6.0148 116.37 90.00 90.00
Positions (direct):
Li (0.0000, 0.8115, 0.6229)
Li (0.0000, 0.1885, 0.3771)
Li (0.5000, 0.6240, 0.2481)
Li (0.5000, 0.3760, 0.7519)
Sn (0.0000, 0.5000, 0.0000)
Hg (0.5000, 0.8685, 0.7370)
Hg (0.5000, 0.1315, 0.2630)

Calculated values
* offset from the most stable computed form: 125 meV/atom
* uncorrected energy: -0.07186 hartree per atom
* spin magnetization: 0.0 μB/f.u.